# KBaUF6 (PBE-GGA, optimized geometry)
# size of the total moment = 2.943 μB/f.u.
# raw formation energy = -3.332 eV/atom
data_KBaUF6
_cell_length_a 6.8666
_cell_length_b 6.8666
_cell_length_c 9.3540
_cell_angle_alpha 90.00
_cell_angle_beta 90.00
_cell_angle_gamma 120.00
_symmetry_space_group_name_H-M 'P 1'
_symmetry_Int_Tables_number 1
loop_
_symmetry_equiv_pos_as_xyz
'x,y,z'
loop_
_atom_site_label
_atom_site_type_symbol
_atom_site_fract_x
_atom_site_fract_y
_atom_site_fract_z
_atom_site_occupancy
K1 K 0.0000 0.0000 0.0000 1
K2 K 0.0000 0.0000 0.5000 1
Ba1 Ba 0.3333 0.6667 0.2500 1
Ba2 Ba 0.6667 0.3333 0.7500 1
U1 U 0.3333 0.6667 0.7500 1
U2 U 0.6667 0.3333 0.2500 1
F1 F 0.0356 0.3760 0.6297 1
F2 F 0.0356 0.6596 0.8703 1
F3 F 0.3404 0.3760 0.8703 1
F4 F 0.3404 0.9644 0.6297 1
F5 F 0.3760 0.0356 0.1297 1
F6 F 0.3760 0.3404 0.3703 1
F7 F 0.6240 0.6596 0.6297 1
F8 F 0.6240 0.9644 0.8703 1
F9 F 0.6596 0.0356 0.3703 1
F10 F 0.6596 0.6240 0.1297 1
F11 F 0.9644 0.3404 0.1297 1
F12 F 0.9644 0.6240 0.3703 1